Version i
{"formula": "NaLi9Mg2", "functional": "PBE", "state": "relaxed", "lattice": [[3.0519, 0.0000, 0.0000], [0.0000, 10.0080, 0.0000], [0.0000, -5.0040, 8.6672]], "species": ["Na", "Li", "Li", "Li", "Li", "Li", "Li", "Li", "Li", "Li", "Mg", "Mg"], "fractional_positions": [[0.0000, 0.0000, 0.0000], [0.0000, 0.0000, 0.5000], [0.0000, 0.5000, 0.5000], [0.0000, 0.5000, 0.0000], [0.5000, 0.3571, 0.1786], [0.5000, 0.1786, 0.8214], [0.5000, 0.1786, 0.3571], [0.5000, 0.8214, 0.6429], [0.5000, 0.8214, 0.1786], [0.5000, 0.6429, 0.8214], [0.0000, 0.3333, 0.6667], [0.0000, 0.6667, 0.3333]], "magmom_total_mub_per_fu": 0.00, "dos_ef_per_ev_cell": 6.21}

---

Version ii
{"formula": "NaLi9Mg2", "functional": "PBE", "state": "relaxed", "lattice": [[4.4789, 0.0000, 0.0000], [0.0000, 4.4789, 0.0000], [0.0000, 0.0000, 12.8475]], "species": ["Na", "Li", "Li", "Li", "Li", "Li", "Li", "Li", "Li", "Li", "Mg", "Mg"], "fractional_positions": [[0.0000, 0.0000, 0.0000], [0.5000, 0.5000, 0.0000], [0.5000, 0.5000, 0.3415], [0.5000, 0.5000, 0.6585], [0.5000, 0.0000, 0.1833], [0.5000, 0.0000, 0.5000], [0.5000, 0.0000, 0.8167], [0.0000, 0.5000, 0.1833], [0.0000, 0.5000, 0.5000], [0.0000, 0.5000, 0.8167], [0.0000, 0.0000, 0.3458], [0.0000, 0.0000, 0.6542]], "magmom_total_mub_per_fu": 0.00, "dos_ef_per_ev_cell": 4.11}

---

Which one is most stable, and which one is least stable? version ii is the most stable of them, while version i is the least stable.